[1]
Computed, not measured: crystalline K2PuAu2O6 at its relaxed geometry at the GGA-PBE level of DFT.

Cell: 6.3951 6.3951 17.0605 Å, 90.00 90.00 120.00°
With the nearest neighbours (Å) after each atom.
Space group R-3m (No. 166, hexagonal axes)
Unique sites:
K1 0.0000 0.0000 0.2129 x6  3 O 2.85
Pu1 0.0000 0.0000 0.0000 x3  6 O 2.03
Au1 0.0000 0.0000 0.4113 x6  3 O 2.10
O1 0.0461 0.5231 0.7411 x18  1 Pu 2.03, 1 Au 2.10

Results
The calculation puts the total magnetization at 2.18 μB/cell. For the volume, the calculation gives 604.2 Å³ per cell. The uncorrected formation energy comes out at -14.4 eV per formula unit.


[2]
Computed, not measured: crystalline K2PuAuO6 at its relaxed geometry at the GGA-PBE level of DFT.

Cell: 5.7781 5.7781 9.8032 Å, 90.00 90.00 90.00°
With the nearest neighbours (Å) after each atom.
Space group I4/mmm (No. 139)
Unique sites:
K1 0.0000 0.5000 0.2500 x4  12 O 2.95-3.19
Pu1 0.0000 0.0000 0.0000 x2  6 O 1.87-2.09
Au1 0.0000 0.0000 0.5000 x2  4 O 2.00
O1 0.0000 0.0000 0.1911 x4  1 Pu 1.87
O2 0.2447 0.2447 0.5000 x8  1 Au 2.00, 1 Pu 2.09

Results
The calculation puts the total magnetization at 1.91 μB/cell. For the volume, the calculation gives 327.3 Å³ per cell. The uncorrected formation energy comes out at -16.6 eV per formula unit.


[3]
Computed, not measured: crystalline KRb2AuO at its relaxed geometry at the GGA-PBE level of DFT.

Cell: 4.2850 18.9147 8.6072 Å, 90.00 90.00 90.00°
With the nearest neighbours (Å) after each atom.
Space group Cmcm (No. 63)
Unique sites:
K1 0.0000 0.0100 0.2500 x4  4 O 3.04
Rb1 0.0000 0.3640 0.0095 x8  1 O 2.57
Au1 0.0000 0.2140 0.2500 x4  6 Rb 3.43-3.51
O1 0.0000 0.5000 0.0000 x4  2 Rb 2.57

Results
The calculation puts the total magnetization at 0.33 μB/cell. For the volume, the calculation gives 697.6 Å³ per cell. As for the energy relative to the lowest polymorph listed for this composition: 112 meV per atom. The uncorrected formation energy comes out at -3.0 eV per formula unit.


[4]
Computed, not measured: crystalline KRb6Au2O at its relaxed geometry at the GGA-PBE level of DFT.

Cell: 8.4073 8.4376 9.5487 Å, 63.96 63.94 60.15°
With the nearest neighbours (Å) after each atom.
Space group P1 (No. 1)
Unique sites:
K1 0.0000 0.0000 0.0000 x1  1 Au 3.36
Rb1 0.1323 0.6633 0.6772 x1  1 O 2.78
Rb2 0.3738 0.4663 0.2851 x1  1 O 2.80
Rb3 0.4611 0.8785 0.2864 x1  1 O 2.80
Rb4 0.5261 0.1385 0.6764 x1  1 O 2.78
Rb5 0.6596 0.5299 0.6777 x1  1 O 2.78
Rb6 0.8734 0.3798 0.2844 x1  1 O 2.80
Au1 0.1337 0.1391 0.5911 x1  1 K 3.36, 6 Rb 3.66-3.73
Au2 0.6784 0.6896 0.9518 x1  6 Rb 3.51-3.55
O1 0.5019 0.5072 0.4883 x1  6 Rb 2.78-2.80

Results
The calculation puts the total magnetization at 0.00 μB/cell. For the volume, the calculation gives 506.2 Å³ per cell. The uncorrected formation energy comes out at -4.0 eV per formula unit.


[5]
Computed, not measured: crystalline K6RbAuO at its relaxed geometry at the GGA-PBE level of DFT.

Cell: 8.2934 8.2934 8.7286 Å, 90.00 90.00 120.00°
With the nearest neighbours (Å) after each atom.
Space group P312 (No. 149)
Unique sites:
K1 0.0848 0.3918 0.1763 x6  1 O 2.67
Rb1 0.6667 0.3333 0.5000 x1  6 K 4.31
Au1 0.0000 0.0000 0.0000 x1  6 K 3.34
O1 0.3333 0.6667 0.0000 x1  6 K 2.67

Results
The calculation puts the total magnetization at 0.00 μB/cell. For the volume, the calculation gives 519.8 Å³ per cell. The uncorrected formation energy comes out at -3.4 eV per formula unit.


[6]
Computed, not measured: crystalline KRb5Au2O at its relaxed geometry at the GGA-PBE level of DFT.

Cell: 8.1168 8.1168 11.3003 Å, 90.00 90.00 90.00°
With the nearest neighbours (Å) after each atom.
Space group I4mm (No. 107)
Unique sites:
K1 0.0000 0.0000 0.0000 x2  1 O 2.58
Rb1 0.0000 0.0000 0.5344 x2  1 O 2.69
Rb2 0.2360 0.2360 0.7711 x8  1 O 2.71
Au1 0.0000 0.5000 0.0189 x4  10 Rb 4.01-4.06, 2 K 4.06
O1 0.0000 0.0000 0.7721 x2  1 K 2.58, 5 Rb 2.69-2.71

Results
The calculation puts the total magnetization at 0.00 μB/cell. For the volume, the calculation gives 744.5 Å³ per cell. The uncorrected formation energy comes out at -4.0 eV per formula unit.